SbTe2WF: relaxed, GGA+U.

a = 5.274 Å, b = 5.274 Å, c = 5.337 Å
α = 90.00°, β = 90.00°, γ = 90.00°
Last column: magnetic moment on the atom in μB.
Sites, in units of the cell vectors:
Te: 0.500 0.000 0.000  0.08
Te: 0.000 0.500 0.000  0.08
F: 0.500 0.500 0.500  0.09
W: 0.000 0.000 0.000  -0.53
Sb: 0.000 0.000 0.500  0.24

Results
The total energy comes out at -3.455 eV per atom. As for the density of states at the Fermi level: 3.80 states/eV/cell.